DyEr2Sb3 | GGA-PBE | relaxed

a b c (Å): 4.3629 6.1666 13.0897
angles (deg): 90.00 90.00 90.00
Closest atoms and distances in Å follow each position.
Element x y z (fractional)
Dy1 0.0000 0.0000 0.0000  6 Sb 3.08-3.10
Dy2 0.5000 0.5000 0.5000  6 Sb 3.08-3.10
Er1 0.0000 0.0000 0.3337  6 Sb 3.08
Er2 0.0000 0.0000 0.6663  6 Sb 3.08
Er3 0.5000 0.5000 0.1663  6 Sb 3.08
Er4 0.5000 0.5000 0.8337  6 Sb 3.08
Sb1 0.0000 0.5000 0.0000  4 Er 3.08, 2 Dy 3.08
Sb2 0.0000 0.5000 0.3322  4 Er 3.08, 2 Dy 3.10
Sb3 0.0000 0.5000 0.6678  4 Er 3.08, 2 Dy 3.10
Sb4 0.5000 0.0000 0.1678  4 Er 3.08, 2 Dy 3.10
Sb5 0.5000 0.0000 0.5000  4 Er 3.08, 2 Dy 3.08
Sb6 0.5000 0.0000 0.8322  4 Er 3.08, 2 Dy 3.10

Computed properties:
Its density of states at the Fermi level is 0.198 states/eV/atom. For the volume, the calculation gives 29.35 A^3/atom. Its calculated total energy is -5.456 eV/atom. As for the uncorrected formation energy: -1.107 eV/atom. For the density, the calculation gives 8.13 g/cm³. The space-group type is Immm.


MgPt3N | GGA-PBE | relaxed

a b c (Å): 4.2119 4.2119 4.2119
angles (deg): 90.00 90.00 90.00
Closest atoms and distances in Å follow each position.
Element x y z (fractional)
Mg1 0.0000 0.0000 0.0000  12 Pt 2.98
Pt1 0.0000 0.5000 0.5000  2 N 2.11
Pt2 0.5000 0.0000 0.5000  2 N 2.11
Pt3 0.5000 0.5000 0.0000  2 N 2.11
N1 0.5000 0.5000 0.5000  6 Pt 2.11

Computed properties:
Its density of states at the Fermi level is 0.670 states/eV/atom. For the volume, the calculation gives 14.94 A^3/atom. Its energy above the most stable polymorph in this dataset is 0 meV per atom. Its calculated total energy is -5.502 eV/atom. As for the uncorrected formation energy: 0.106 eV/atom. For the density, the calculation gives 13.86 g/cm³. The space-group type is Pm-3m.


ScCr2InGa | GGA-PBE | relaxed

a b c (Å): 4.7199 4.7199 5.0256
angles (deg): 90.00 90.00 90.00
Closest atoms and distances in Å follow each position.
Element x y z (fractional)
Sc1 0.0000 0.0000 0.0000  4 In 3.34, 8 Cr 3.45
Cr1 0.0000 0.5000 0.5000  2 Ga 2.36
Cr2 0.5000 0.0000 0.5000  2 Ga 2.36
In1 0.5000 0.5000 0.0000  2 Ga 2.51
Ga1 0.5000 0.5000 0.5000  4 Cr 2.36, 2 In 2.51

Computed properties:
Its density of states at the Fermi level is 1.134 states/eV/atom. The calculation puts the formation energy at 3.80 eV/f.u. For the volume, the calculation gives 22.39 A^3/atom. Its calculated total energy is -5.509 eV/atom. For the density, the calculation gives 4.95 g/cm³. The space-group type is P4/mmm.


TaNiPb3 | GGA-PBE | relaxed

a b c (Å): 5.0524 5.0524 5.0524
angles (deg): 90.00 90.00 90.00
Closest atoms and distances in Å follow each position.
Element x y z (fractional)
Ta1 0.0000 0.0000 0.0000  12 Pb 3.57
Ni1 0.5000 0.5000 0.5000  6 Pb 2.53
Pb1 0.0000 0.5000 0.5000  2 Ni 2.53
Pb2 0.5000 0.0000 0.5000  2 Ni 2.53
Pb3 0.5000 0.5000 0.0000  2 Ni 2.53

Computed properties:
Its density of states at the Fermi level is 1.514 states/eV/atom. The calculation puts the formation energy at 5.07 eV/f.u. For the volume, the calculation gives 25.79 A^3/atom. Its energy above the most stable polymorph in this dataset is 0 meV per atom. Its calculated total energy is -4.738 eV/atom. For the density, the calculation gives 11.09 g/cm³. The space-group type is Pm-3m.


K2SbCF | GGA-PBE | relaxed

a b c (Å): 4.6877 4.6877 5.9421
angles (deg): 90.00 90.00 90.00
Closest atoms and distances in Å follow each position.
Element x y z (fractional)
K1 0.0000 0.5000 0.0000  2 F 2.34
K2 0.5000 0.0000 0.0000  2 F 2.34
Sb1 0.0000 0.0000 0.5000  4 C 3.31
C1 0.5000 0.5000 0.5000  2 F 2.97, 4 Sb 3.31
F1 0.5000 0.5000 0.0000  4 K 2.34

Computed properties:
Its density of states at the Fermi level is 0.647 states/eV/atom. For the volume, the calculation gives 26.12 A^3/atom. Its calculated total energy is -3.170 eV/atom. As for the uncorrected formation energy: 0.313 eV/atom. For the density, the calculation gives 2.94 g/cm³. The space-group type is P4/mmm.


ErTl3In3Br8 | GGA-PBE | relaxed

a b c (Å): 9.4960 9.4960 9.5208
angles (deg): 119.87 119.87 60.04
Closest atoms and distances in Å follow each position.
Element x y z (fractional)
Er1 0.0000 0.0000 0.0000  6 Br 2.81
Tl1 0.0000 0.0000 0.5000  6 Br 3.38-3.42
Tl2 0.0000 0.5000 0.0000  6 Br 3.38-3.41
Tl3 0.5000 0.0000 0.0000  6 Br 3.38-3.41
In1 0.0000 0.5000 0.5000  6 Br 3.34-3.40
In2 0.5000 0.0000 0.5000  6 Br 3.34-3.40
In3 0.5000 0.5000 0.0000  6 Br 3.35-3.40
Br1 0.2086 0.2086 0.2098  1 Er 2.81
Br2 0.2088 0.7900 0.7916  1 Er 2.81
Br3 0.2100 0.7912 0.2084  1 Er 2.81
Br4 0.2512 0.2512 0.7481  3 In 3.34-3.35, 3 Tl 3.38
Br5 0.7488 0.7488 0.2519  3 In 3.34-3.35, 3 Tl 3.38
Br6 0.7900 0.2088 0.7916  1 Er 2.81
Br7 0.7912 0.2100 0.2084  1 Er 2.81
Br8 0.7914 0.7914 0.7902  1 Er 2.81

Computed properties:
Its density of states at the Fermi level is 0.329 states/eV/atom. For the volume, the calculation gives 40.56 A^3/atom. Its calculated total energy is -3.149 eV/atom. As for the uncorrected formation energy: -0.931 eV/atom. For the density, the calculation gives 4.81 g/cm³. The space-group type is C2/m.


NbSbTe2O | GGA-PBE | relaxed

a b c (Å): 4.8109 4.8109 4.6543
angles (deg): 90.00 90.00 90.00
Closest atoms and distances in Å follow each position.
Element x y z (fractional)
Nb1 0.0000 0.0000 0.0000  8 Te 3.35, 4 Sb 3.40
Sb1 0.5000 0.5000 0.0000  2 O 2.33
Te1 0.0000 0.5000 0.5000  2 O 2.41
Te2 0.5000 0.0000 0.5000  2 O 2.41
O1 0.5000 0.5000 0.5000  2 Sb 2.33, 4 Te 2.41

Computed properties:
Its density of states at the Fermi level is 0.613 states/eV/atom. For the volume, the calculation gives 21.54 A^3/atom. Its energy above the most stable polymorph in this dataset is 0 meV per atom. Its calculated total energy is -4.837 eV/atom. As for the uncorrected formation energy: 0.250 eV/atom. For the density, the calculation gives 7.49 g/cm³. The space-group type is P4/mmm.


LaScV2Co | GGA-PBE | relaxed

a b c (Å): 4.7646 4.7646 4.5047
angles (deg): 90.00 90.00 90.00
Closest atoms and distances in Å follow each position.
Element x y z (fractional)
La1 0.0000 0.0000 0.0000  2 Co 2.25, 4 V 2.38
Sc1 0.5000 0.5000 0.5000  8 V 3.28, 4 Co 3.37
V1 0.0000 0.5000 0.0000  2 La 2.38
V2 0.5000 0.0000 0.0000  2 La 2.38
Co1 0.0000 0.0000 0.5000  2 La 2.25

Computed properties:
Its density of states at the Fermi level is 1.026 states/eV/atom. The calculation puts the formation energy at 6.60 eV/f.u. For the volume, the calculation gives 20.45 A^3/atom. Its calculated total energy is -6.001 eV/atom. For the density, the calculation gives 5.60 g/cm³. The space-group type is P4/mmm.


LiPr5Ho4 | GGA-PBE | relaxed

a b c (Å): 3.6389 3.6389 24.6394
angles (deg): 90.00 90.00 90.00
Closest atoms and distances in Å follow each position.
Element x y z (fractional)
Li1 0.0000 0.0000 0.0000  8 Pr 3.38, 4 Li 3.64
Pr1 0.5000 0.5000 0.0892  4 Li 3.38, 4 Ho 3.59, 4 Pr 3.64
Pr2 0.5000 0.5000 0.2945  8 Ho 3.61-3.63, 4 Pr 3.64
Pr3 0.5000 0.5000 0.5000  8 Ho 3.61, 4 Pr 3.64
Pr4 0.5000 0.5000 0.7055  8 Ho 3.61-3.63, 4 Pr 3.64
Pr5 0.5000 0.5000 0.9108  4 Li 3.38, 4 Ho 3.59, 4 Pr 3.64
Ho1 0.0000 0.0000 0.1908  8 Pr 3.59-3.63, 4 Ho 3.64
Ho2 0.0000 0.0000 0.3971  8 Pr 3.61, 4 Ho 3.64
Ho3 0.0000 0.0000 0.6029  8 Pr 3.61, 4 Ho 3.64
Ho4 0.0000 0.0000 0.8092  8 Pr 3.59-3.63, 4 Ho 3.64

Computed properties:
Its density of states at the Fermi level is 1.397 states/eV/atom. The calculation puts the formation energy at 0.36 eV/f.u. For the volume, the calculation gives 32.63 A^3/atom. Its calculated total energy is -4.377 eV/atom. For the density, the calculation gives 6.98 g/cm³. The space-group type is P4/mmm.


HoMg4Ag | GGA-PBE | relaxed

a b c (Å): 9.0014 3.9670 7.8261
angles (deg): 90.00 90.00 90.00
Closest atoms and distances in Å follow each position.
Element x y z (fractional)
Ho1 0.2500 0.0000 0.1007  1 Ag 3.09, 6 Mg 3.28-3.41
Ho2 0.7500 0.0000 0.8993  1 Ag 3.09, 6 Mg 3.28-3.41
Mg1 0.0000 0.0000 0.5000  2 Ag 2.77, 4 Mg 3.04
Mg2 0.0485 0.5000 0.8145  2 Ag 2.82, 1 Mg 3.03
Mg3 0.2500 0.5000 0.4347  2 Ag 2.91, 4 Mg 3.04
Mg4 0.4515 0.5000 0.8145  2 Ag 2.82, 1 Mg 3.03
Mg5 0.5000 0.0000 0.5000  2 Ag 2.77, 4 Mg 3.04
Mg6 0.5485 0.5000 0.1855  2 Ag 2.82, 1 Mg 3.03
Mg7 0.7500 0.5000 0.5653  2 Ag 2.91, 4 Mg 3.04
Mg8 0.9515 0.5000 0.1855  2 Ag 2.82, 1 Mg 3.03
Ag1 0.2500 0.0000 0.7061  8 Mg 2.77-2.91, 1 Ho 3.09
Ag2 0.7500 0.0000 0.2939  8 Mg 2.77-2.91, 1 Ho 3.09

Computed properties:
Its density of states at the Fermi level is 0.450 states/eV/atom. The calculation puts the formation energy at -0.75 eV/f.u. For the volume, the calculation gives 23.29 A^3/atom. Its energy above the most stable polymorph in this dataset is 0 meV per atom. Its calculated total energy is -2.426 eV/atom. For the density, the calculation gives 4.40 g/cm³. The space-group type is Pmma.


Question: Which formula does entry 9 have?
Answer: LiPr5Ho4